A geometry-optimized MgCoN2 structure, computed with GGA-PBE.

abc: 5.3680 5.3680 5.3680
angles: 129.41 129.41 74.35
Closest atoms and distances in Å follow each position.
Positions (direct):
Mg (0.0000, 0.0000, 0.0000)  4 N 2.09
Mg (0.7500, 0.2500, 0.5000)  4 N 2.09
Co (0.2500, 0.7500, 0.5000)  4 N 1.81
Co (0.5000, 0.5000, 0.0000)  4 N 1.81
N (0.1776, 0.6250, 0.0526)  2 Co 1.81
N (0.3750, 0.4276, 0.5526)  2 Co 1.81
N (0.5724, 0.1250, 0.9474)  2 Co 1.81
N (0.8750, 0.8224, 0.4474)  2 Co 1.81

Calculated total energy ... -25.59 eV per formula unit
Space group ... I-42d (122)
V ... 11.25 A^3/atom

***

A geometry-optimized MgCoN2 structure, computed with GGA-PBE.

abc: 5.8271 5.8271 5.8271
angles: 32.34 32.34 32.34
Closest atoms and distances in Å follow each position.
Positions (direct):
Mg (0.0000, 0.0000, 0.0000)  6 N 2.17
Co (0.5000, 0.5000, 0.5000)  2 N 1.66
N (0.3999, 0.3999, 0.3999)  1 Co 1.66
N (0.6001, 0.6001, 0.6001)  1 Co 1.66

Calculated total energy ... -23.17 eV per formula unit
Space group ... R-3m (166)
V ... 12.58 A^3/atom

***

A geometry-optimized Mg3CoN structure, computed with GGA-PBE.

abc: 4.2124 4.2124 4.2124
angles: 90.00 90.00 90.00
Closest atoms and distances in Å follow each position.
Positions (direct):
Mg (0.0000, 0.0000, 0.5000)  2 N 2.11
Mg (0.0000, 0.5000, 0.0000)  2 N 2.11
Mg (0.5000, 0.0000, 0.0000)  2 N 2.11
Co (0.5000, 0.5000, 0.5000)  12 Mg 2.98
N (0.0000, 0.0000, 0.0000)  6 Mg 2.11

Calculated total energy ... -20.40 eV per formula unit
Space group ... Pm-3m (221)
V ... 14.95 A^3/atom

***

A geometry-optimized MgCoN structure, computed with GGA-PBE.

abc: 7.5557 3.4989 5.4800
angles: 90.00 90.00 90.00
Closest atoms and distances in Å follow each position.
Positions (direct):
Mg (0.1756, 0.2500, 0.0725)  2 N 2.12-2.14
Mg (0.3244, 0.7500, 0.5725)  2 N 2.12-2.14
Mg (0.6756, 0.2500, 0.4275)  2 N 2.12-2.14
Mg (0.8244, 0.7500, 0.9275)  2 N 2.12-2.14
Co (0.0411, 0.2500, 0.6346)  2 N 1.83
Co (0.4589, 0.7500, 0.1346)  2 N 1.83
Co (0.5411, 0.2500, 0.8654)  2 N 1.83
Co (0.9589, 0.7500, 0.3654)  2 N 1.83
N (0.0642, 0.7500, 0.7267)  2 Co 1.83
N (0.4358, 0.2500, 0.2267)  2 Co 1.83
N (0.5642, 0.7500, 0.7733)  2 Co 1.83
N (0.9358, 0.2500, 0.2733)  2 Co 1.83

Calculated total energy ... -17.53 eV per formula unit
Space group ... Pnma (62)
V ... 12.07 A^3/atom

***

A geometry-optimized MgCoN2 structure, computed with GGA-PBE.

abc: 6.2185 6.2185 6.2185
angles: 27.18 27.18 27.18
Closest atoms and distances in Å follow each position.
Positions (direct):
Mg (0.0000, 0.0000, 0.0000)  2 N 2.01
Co (0.5000, 0.5000, 0.5000)  6 N 1.95
N (0.1119, 0.1119, 0.1119)  3 Co 1.95, 1 Mg 2.01
N (0.8881, 0.8881, 0.8881)  3 Co 1.95, 1 Mg 2.01

Calculated total energy ... -23.35 eV per formula unit
Space group ... R-3m (166)
V ... 11.06 A^3/atom

***

A geometry-optimized Mg3CoN structure, computed with GGA-PBE.

abc: 4.7477 4.7477 4.7477
angles: 90.00 90.00 90.00
Closest atoms and distances in Å follow each position.
Positions (direct):
Mg (0.0000, 0.0000, 0.5000)  2 Co 2.37
Mg (0.0000, 0.5000, 0.0000)  2 Co 2.37
Mg (0.5000, 0.0000, 0.0000)  2 Co 2.37
Co (0.0000, 0.0000, 0.0000)  6 Mg 2.37
N (0.5000, 0.5000, 0.5000)  12 Mg 3.36

Calculated total energy ... -14.02 eV per formula unit
Space group ... Pm-3m (221)
V ... 21.40 A^3/atom

***

Calculated density list, top to bottom, in Mg/m³: 4.11 3.67 3.24 4.46 4.17 2.26